Density functional theory data (PBE-GGA) for a relaxed Y2Co14Cu3 crystal.

Cell: 8.328 8.328 8.147 Å, 90.00 90.00 120.00°
Positions (direct):
Cu: 0.500 0.500 0.000
Cu: 0.500 0.000 0.500
Cu: 0.500 0.500 0.500
Cu: 0.000 0.500 0.500
Cu: 0.000 0.500 0.000
Cu: 0.500 0.000 0.000
Co: 0.626 0.673 0.250
Co: 0.162 0.838 0.984
Co: 0.952 0.327 0.750
Co: 0.333 0.667 0.110
Co: 0.952 0.626 0.750
Co: 0.838 0.676 0.016
Co: 0.838 0.676 0.484
Co: 0.838 0.162 0.484
Co: 0.667 0.333 0.610
Co: 0.673 0.626 0.750
Co: 0.626 0.952 0.250
Co: 0.048 0.673 0.250
Co: 0.327 0.374 0.250
Co: 0.374 0.048 0.750
Co: 0.327 0.952 0.250
Co: 0.374 0.327 0.750
Co: 0.324 0.162 0.016
Co: 0.333 0.667 0.390
Co: 0.676 0.838 0.516
Co: 0.324 0.162 0.484
Co: 0.676 0.838 0.984
Co: 0.838 0.162 0.016
Co: 0.673 0.048 0.750
Co: 0.162 0.324 0.516
Co: 0.162 0.324 0.984
Co: 0.048 0.374 0.250
Co: 0.162 0.838 0.516
Co: 0.667 0.333 0.890
Y: 0.333 0.667 0.750
Y: 0.000 0.000 0.750
Y: 0.667 0.333 0.250
Y: 0.000 0.000 0.250

Values from the calculation:
ρ (g/cm3): 8.1
Total magnetization (μB per cell): 40.73
Energy of formation (meV per atom): -25.6